No. 1
Here is an optimized crystal structure of SmPd8Pt2 from Alexandria via LeMat-Bulk. Energies are from PBE.

* symmetry: C2/m
* energy relative to the elements: -0.192 eV/atom

Cell and atoms, written as POSCAR:
```
SmPd8Pt2
1.0
-0.442 -3.292 3.583
7.774 1.215 -1.278
-5.370 5.753 1.270
Pt Pd Sm
2 8 1
Cartesian
3.497 2.691 -0.449 Pt
-1.093 4.276 0.440 Pt
-1.424 1.545 1.220 Pd
5.008 0.447 1.007 Pd
2.369 0.236 0.485 Pd
1.109 2.692 0.928 Pd
-3.046 3.228 2.568 Pd
3.385 2.130 2.355 Pd
-0.407 3.439 3.090 Pd
0.852 0.983 2.647 Pd
-0.221 -1.646 1.792 Sm
```


No. 2
Here is an optimized crystal structure of Sm2Pd12Pt5 from Alexandria via LeMat-Bulk. Energies are from PBE.

* symmetry: R-3m
* energy relative to the elements: -0.345 eV/atom

Cell and atoms, written as POSCAR:
```
Sm2Pd12Pt5
1.0
-5.651 -3.565 -1.992
1.889 -6.222 2.516
-3.486 0.336 6.028
Pd Pt Sm
12 5 2
Cartesian
-4.257 -3.150 5.263 Pd
-4.999 -2.390 0.424 Pd
-1.613 -6.375 3.536 Pd
0.270 -4.247 3.574 Pd
-1.868 -1.639 4.971 Pd
-0.382 -5.422 1.159 Pd
-2.992 -6.301 1.290 Pd
-5.321 -5.068 1.319 Pd
-1.927 -4.383 5.234 Pd
-5.635 -3.076 3.017 Pd
-3.380 -4.365 -0.634 Pd
-4.138 -0.839 3.613 Pd
-1.743 0.168 3.014 Pt
0.944 -3.111 1.258 Pt
-2.825 -1.782 -0.996 Pt
-0.759 -0.990 0.686 Pt
-6.489 -8.461 5.867 Pt
-2.384 -3.109 2.156 Sm
-4.864 -6.342 4.397 Sm
```


No. 3
Here is an optimized crystal structure of Sm4Pd7Pt from Alexandria via LeMat-Bulk. Energies are from PBE.

* symmetry: P-1
* energy relative to the elements: -0.797 eV/atom

Cell and atoms, written as POSCAR:
```
Sm4Pd7Pt
1.0
-3.462 -3.421 2.882
2.587 -5.891 -4.922
2.719 -0.651 5.105
Pt Sm Pd
1 4 7
Cartesian
0.000 0.000 0.000 Pt
-0.586 -3.800 3.136 Sm
0.266 -2.981 -0.445 Sm
2.430 -6.162 -0.071 Sm
1.578 -6.982 3.510 Sm
1.548 -5.025 -2.513 Pd
0.953 -8.423 0.844 Pd
0.296 -4.938 5.578 Pd
2.178 -3.926 1.830 Pd
-0.334 -6.036 1.235 Pd
-1.731 -1.711 1.441 Pd
0.891 -1.539 2.221 Pd
```


No. 4
Here is an optimized crystal structure of Sm5Pd2Pt from Alexandria via LeMat-Bulk. Energies are from PBE.

* symmetry: I4/mcm
* energy relative to the elements: -0.682 eV/atom

Cell and atoms, written as POSCAR:
```
Sm5Pd2Pt
1.0
-4.630 -2.640 5.151
2.535 -6.855 -1.235
6.348 5.756 3.323
Pd Sm Pt
4 10 2
Cartesian
0.497 -6.921 0.824 Pd
-2.416 -6.624 3.691 Pd
0.321 -2.871 0.226 Pd
-2.591 -2.574 3.093 Pd
0.472 -1.733 3.066 Sm
0.000 0.000 0.000 Sm
-1.432 -4.162 5.442 Sm
0.585 -7.162 3.991 Sm
1.764 0.994 5.625 Sm
5.686 0.424 1.797 Sm
-1.047 -4.747 1.958 Sm
2.489 -4.733 1.615 Sm
3.781 -2.006 4.173 Sm
3.669 3.424 3.249 Sm
2.650 0.505 2.641 Pt
1.603 -4.243 4.599 Pt
```